No. 1
# Eu2AgIr

Crystalline Eu2AgIr at its relaxed geometry (GGA-PBE, Alexandria).

The total moment comes out at 13.7 Bohr magnetons per cell. Its energy of formation from the pure elements is -0.3115 eV per atom.

Cell lengths 3.565, 3.565, 7.697 Å; angles 90.00, 90.00, 90.00 degrees
Fractional coordinates of all 4 atoms:
Eu 0.000 0.000 0.220
Eu 0.000 0.000 0.780
Ag 0.500 0.500 0.500
Ir 0.500 0.500 0.000

No. 2
# SrMgZn2In2

Crystalline SrMgZn2In2 at its relaxed geometry (GGA-PBE, Alexandria).

The total moment comes out at 0.0 Bohr magnetons per cell. Its energy of formation from the pure elements is -0.2218 eV per atom.

Cell lengths 4.709, 4.709, 7.611 Å; angles 90.00, 90.00, 120.00 degrees
Fractional coordinates of all 6 atoms:
Sr 0.000 0.000 0.000
Mg 0.000 0.000 0.500
Zn 0.333 0.667 0.707
Zn 0.667 0.333 0.293
In 0.333 0.667 0.289
In 0.667 0.333 0.711

No. 3
# Al2TeMo

Crystalline Al2TeMo at its relaxed geometry (GGA-PBE, Alexandria).

The total moment comes out at 0.0 Bohr magnetons per cell. The calculation puts the electronic total energy at -0.3667 Ry per atom.

Cell lengths 3.224, 4.935, 4.667 Å; angles 90.00, 90.33, 90.00 degrees
Fractional coordinates of all 4 atoms:
Al 0.243 0.000 0.235
Al 0.757 0.000 0.765
Te 0.500 0.500 0.500
Mo 0.000 0.500 0.000

No. 4
# Y2Ta2Al

Crystalline Y2Ta2Al at its relaxed geometry (GGA-PBE, Alexandria).

The total moment comes out at 0.0 Bohr magnetons per cell. As for the excess energy over the best structure of this formula in the dataset: 0.0 kJ/mol of formula units. Its energy of formation from the pure elements is 0.2054 eV per atom.

Cell lengths 7.205, 7.205, 4.499 Å; angles 90.00, 90.00, 90.00 degrees
Fractional coordinates of all 10 atoms:
Y 0.171 0.329 0.000
Y 0.329 0.829 0.000
Y 0.671 0.171 0.000
Y 0.829 0.671 0.000
Ta 0.131 0.631 0.500
Ta 0.369 0.131 0.500
Ta 0.631 0.869 0.500
Ta 0.869 0.369 0.500
Al 0.000 0.000 0.500
Al 0.500 0.500 0.500